## i
# HSCl

HSCl after structural relaxation (PBE, the Alexandria database).

Summary:
The value obtained for the density of states at the Fermi level is 2.3 states/eV per cell. The calculation puts the total magnetization at 0.00 μB per formula unit. The density is 1.4 g/cm3.

```
HSCl
1.0
2.7326 -2.5100 0.0000
2.7326 2.5100 0.0000
-0.3192 0.0000 11.8623
H S Cl
2 2 2
direct
0.0069 0.0069 0.3493 H
0.9931 0.9931 0.6507 H
0.3070 0.6930 0.0000 S
0.6930 0.3070 0.0000 S
0.2293 0.2293 0.6514 Cl
0.7707 0.7707 0.3486 Cl
```

***

## ii
# HSCl

HSCl after structural relaxation (PBE, the Alexandria database).

Summary:
The value obtained for the density of states at the Fermi level is 0.1 states/eV per cell. The calculation puts the total magnetization at 0.00 μB per formula unit. The density is 1.9 g/cm3.

```
HSCl
1.0
5.4907 -1.6473 0.0000
5.4907 1.6473 0.0000
-3.8173 0.0000 6.6528
H S Cl
2 2 2
direct
0.0932 0.0932 0.1489 H
0.9068 0.9068 0.8511 H
0.4016 0.4016 0.8486 S
0.5984 0.5984 0.1514 S
0.1773 0.1773 0.6953 Cl
0.8227 0.8227 0.3047 Cl
```

***

Taking the most stable structure as the zero point, the relative energies in eV/atom are i 0.000; ii 0.270.

***

## i
# HS3Cl

HS3Cl after structural relaxation (PBE, the Alexandria database).

Summary:
The value obtained for the density of states at the Fermi level is 5.3 states/eV per cell. The calculation puts the total magnetization at 0.54 μB per formula unit. The density is 2.1 g/cm3.

```
HS3Cl
1.0
4.7074 0.0000 0.0000
0.0000 4.7074 0.0000
0.0000 0.0000 4.7074
H S Cl
1 3 1
direct
0.0000 0.0000 0.0000 H
0.0000 0.5000 0.5000 S
0.5000 0.0000 0.5000 S
0.5000 0.5000 0.0000 S
0.5000 0.5000 0.5000 Cl
```

***

## ii
# HS3Cl

HS3Cl after structural relaxation (PBE, the Alexandria database).

Summary:
The value obtained for the density of states at the Fermi level is 4.5 states/eV per cell. The calculation puts the total magnetization at 0.00 μB per formula unit. The density is 3.1 g/cm3.

```
HS3Cl
1.0
4.1466 0.0000 0.0000
0.0000 4.1466 0.0000
0.0000 0.0000 4.1466
H S Cl
1 3 1
direct
0.0000 0.0000 0.0000 H
0.0000 0.0000 0.5000 S
0.0000 0.5000 0.0000 S
0.5000 0.0000 0.0000 S
0.5000 0.5000 0.5000 Cl
```

***

Taking the most stable structure as the zero point, the relative energies in eV/atom are i 0.471; ii 0.000.

***

## i
# HSCl2

HSCl2 after structural relaxation (PBE, the Alexandria database).

Summary:
The value obtained for the density of states at the Fermi level is 0.2 states/eV per cell. The calculation puts the total magnetization at 3.00 μB per formula unit. The density is 2.2 g/cm3.

```
HSCl2
1.0
-2.9392 2.9392 4.6079
2.9392 -2.9392 4.6079
2.9392 2.9392 -4.6079
H S Cl
2 2 4
direct
0.0000 0.0000 0.0000 H
0.7500 0.2500 0.5000 H
0.2500 0.7500 0.5000 S
0.5000 0.5000 0.0000 S
0.0006 0.6250 0.8756 Cl
0.3750 0.2506 0.3756 Cl
0.7494 0.1250 0.1244 Cl
0.8750 0.9994 0.6244 Cl
```

***

## ii
# HSCl2

HSCl2 after structural relaxation (PBE, the Alexandria database).

Summary:
The value obtained for the density of states at the Fermi level is 5.4 states/eV per cell. The calculation puts the total magnetization at 2.29 μB per formula unit. The density is 2.4 g/cm3.

```
HSCl2
1.0
0.0000 3.2840 3.2840
3.2840 0.0000 3.2840
3.2840 3.2840 0.0000
H S Cl
1 1 2
direct
0.0000 0.0000 0.0000 H
0.5000 0.5000 0.5000 S
0.2500 0.2500 0.2500 Cl
0.7500 0.7500 0.7500 Cl
```

***

## iii
# HSCl2

HSCl2 after structural relaxation (PBE, the Alexandria database).

Summary:
The value obtained for the density of states at the Fermi level is 1.9 states/eV per cell. The calculation puts the total magnetization at 0.00 μB per formula unit. The density is 2.6 g/cm3.

```
HSCl2
1.0
1.6599 0.9584 7.0299
-1.6599 0.9584 7.0299
0.0000 -1.9167 7.0299
H S Cl
1 1 2
direct
0.0000 0.0000 0.0000 H
0.5000 0.5000 0.5000 S
0.3936 0.3936 0.3936 Cl
0.6064 0.6064 0.6064 Cl
```

***

Taking the most stable structure as the zero point, the relative energies in eV/atom are i 0.171; ii 0.640; iii 0.000.

***

## i
# H3SCl

H3SCl after structural relaxation (PBE, the Alexandria database).

Summary:
The value obtained for the density of states at the Fermi level is 1.0 states/eV per cell. The calculation puts the total magnetization at 0.00 μB per formula unit. The density is 2.6 g/cm3.

```
H3SCl
1.0
3.5529 0.0000 0.0000
0.0000 3.5529 0.0000
0.0000 0.0000 3.5529
H S Cl
3 1 1
direct
0.0000 0.0000 0.5000 H
0.0000 0.5000 0.0000 H
0.5000 0.0000 0.0000 H
0.0000 0.0000 0.0000 S
0.5000 0.5000 0.5000 Cl
```

***

## ii
# H3SCl

H3SCl after structural relaxation (PBE, the Alexandria database).

Summary:
The value obtained for the density of states at the Fermi level is 2.8 states/eV per cell. The calculation puts the total magnetization at 0.92 μB per formula unit. The density is 2.5 g/cm3.

```
H3SCl
1.0
3.6243 0.0000 0.0000
0.0000 3.6243 0.0000
0.0000 0.0000 3.6243
H S Cl
3 1 1
direct
0.0000 0.0000 0.5000 H
0.0000 0.5000 0.0000 H
0.5000 0.0000 0.0000 H
0.5000 0.5000 0.5000 S
0.0000 0.0000 0.0000 Cl
```

***

## iii
# H3SCl

H3SCl after structural relaxation (PBE, the Alexandria database).

Summary:
The value obtained for the density of states at the Fermi level is 0.0 states/eV per cell. The calculation puts the total magnetization at 0.00 μB per formula unit. The density is 1.4 g/cm3.

```
H3SCl
1.0
2.5674 1.4823 3.7175
-2.5674 1.4823 3.7175
0.0000 -2.9646 3.7175
H S Cl
3 1 1
direct
0.0634 0.4683 0.4683 H
0.4683 0.0634 0.4683 H
0.4683 0.4683 0.0634 H
0.2661 0.2661 0.2661 S
0.7560 0.7560 0.7560 Cl
```

***

Taking the most stable structure as the zero point, the relative energies in eV/atom are i 0.771; ii 1.452; iii 0.000.

***

## i
# SnHSCl2

SnHSCl2 after structural relaxation (PBE, the Alexandria database).

Summary:
The value obtained for the density of states at the Fermi level is 2.1 states/eV per cell. The calculation puts the total magnetization at 1.02 μB per formula unit. The density is 3.9 g/cm3.

```
SnHSCl2
1.0
5.2989 0.0000 0.0000
0.0000 5.2989 0.0000
0.0000 0.0000 3.3732
Sn H S Cl
1 1 1 2
direct
0.0000 0.0000 0.0000 Sn
0.5000 0.5000 0.5000 H
0.5000 0.5000 0.0000 S
0.0000 0.5000 0.5000 Cl
0.5000 0.0000 0.5000 Cl
```

***

## ii
# SnHSCl2

SnHSCl2 after structural relaxation (PBE, the Alexandria database).

Summary:
The value obtained for the density of states at the Fermi level is 3.6 states/eV per cell. The calculation puts the total magnetization at 0.43 μB per formula unit. The density is 2.7 g/cm3.

```
SnHSCl2
1.0
5.2187 0.0000 0.0000
0.0000 5.2187 0.0000
0.0000 0.0000 4.9729
Sn H S Cl
1 1 1 2
direct
0.0000 0.0000 0.0000 Sn
0.5000 0.5000 0.5000 H
0.0000 0.0000 0.5000 S
0.0000 0.5000 0.0000 Cl
0.5000 0.0000 0.0000 Cl
```

***

Taking the most stable structure as the zero point, the relative energies in eV/atom are i 0.000; ii 0.119.

***

## i
# SnHS2Cl

SnHS2Cl after structural relaxation (PBE, the Alexandria database).

Summary:
The value obtained for the density of states at the Fermi level is 5.6 states/eV per cell. The calculation puts the total magnetization at 1.63 μB per formula unit. The density is 2.8 g/cm3.

```
SnHS2Cl
1.0
5.0080 0.0000 0.0000
0.0000 5.0080 0.0000
0.0000 0.0000 5.2673
Sn H S Cl
1 1 2 1
direct
0.0000 0.0000 0.0000 Sn
0.5000 0.5000 0.5000 H
0.0000 0.5000 0.0000 S
0.5000 0.0000 0.0000 S
0.0000 0.0000 0.5000 Cl
```

***

## ii
# SnHS2Cl

SnHS2Cl after structural relaxation (PBE, the Alexandria database).

Summary:
The value obtained for the density of states at the Fermi level is 1.1 states/eV per cell. The calculation puts the total magnetization at 0.00 μB per formula unit. The density is 4.1 g/cm3.

```
SnHS2Cl
1.0
3.9716 0.0000 0.0000
0.0000 3.9716 0.0000
0.0000 0.0000 5.6112
Sn H S Cl
1 1 2 1
direct
0.0000 0.0000 0.0000 Sn
0.5000 0.5000 0.5000 H
0.0000 0.5000 0.5000 S
0.5000 0.0000 0.5000 S
0.5000 0.5000 0.0000 Cl
```

***

Taking the most stable structure as the zero point, the relative energies in eV/atom are i 0.371; ii 0.000.

***

## i
# SrHS2Cl

SrHS2Cl after structural relaxation (PBE, the Alexandria database).

Summary:
The value obtained for the density of states at the Fermi level is 1.8 states/eV per cell. The calculation puts the total magnetization at 4.00 μB per formula unit. The density is 1.5 g/cm3.

```
SrHS2Cl
1.0
6.0261 0.0000 0.0000
0.0000 6.0261 0.0000
0.0000 0.0000 5.6452
Sr H S Cl
1 1 2 1
direct
0.0000 0.0000 0.0000 Sr
0.5000 0.5000 0.5000 H
0.0000 0.5000 0.0000 S
0.5000 0.0000 0.0000 S
0.0000 0.0000 0.5000 Cl
```

***

## ii
# SrHS2Cl

SrHS2Cl after structural relaxation (PBE, the Alexandria database).

Summary:
The value obtained for the density of states at the Fermi level is 1.1 states/eV per cell. The calculation puts the total magnetization at 0.00 μB per formula unit. The density is 3.4 g/cm3.

```
SrHS2Cl
1.0
4.0146 0.0000 0.0000
0.0000 4.0146 0.0000
0.0000 0.0000 5.7329
Sr H S Cl
1 1 2 1
direct
0.0000 0.0000 0.0000 Sr
0.5000 0.5000 0.5000 H
0.0000 0.5000 0.5000 S
0.5000 0.0000 0.5000 S
0.5000 0.5000 0.0000 Cl
```

***

Taking the most stable structure as the zero point, the relative energies in eV/atom are i 0.818; ii 0.000.

***

## i
# TaHSCl2

TaHSCl2 after structural relaxation (PBE, the Alexandria database).

Summary:
The value obtained for the density of states at the Fermi level is 1.5 states/eV per cell. The calculation puts the total magnetization at 0.99 μB per formula unit. The density is 4.2 g/cm3.

```
TaHSCl2
1.0
4.8930 0.0000 0.0000
0.0000 4.8930 0.0000
0.0000 0.0000 4.7132
Ta H S Cl
1 1 1 2
direct
0.0000 0.0000 0.0000 Ta
0.5000 0.5000 0.5000 H
0.0000 0.0000 0.5000 S
0.0000 0.5000 0.0000 Cl
0.5000 0.0000 0.0000 Cl
```

***

## ii
# TaHSCl2

TaHSCl2 after structural relaxation (PBE, the Alexandria database).

Summary:
The value obtained for the density of states at the Fermi level is 3.0 states/eV per cell. The calculation puts the total magnetization at 0.48 μB per formula unit. The density is 6.4 g/cm3.

```
TaHSCl2
1.0
4.7495 0.0000 0.0000
0.0000 4.7495 0.0000
0.0000 0.0000 3.2704
Ta H S Cl
1 1 1 2
direct
0.0000 0.0000 0.0000 Ta
0.5000 0.5000 0.5000 H
0.5000 0.5000 0.0000 S
0.0000 0.5000 0.5000 Cl
0.5000 0.0000 0.5000 Cl
```

***

Taking the most stable structure as the zero point, the relative energies in eV/atom are i 0.000; ii 0.836.

***

## i
# TeHSCl2

TeHSCl2 after structural relaxation (PBE, the Alexandria database).

Summary:
The value obtained for the density of states at the Fermi level is 3.5 states/eV per cell. The calculation puts the total magnetization at 0.00 μB per formula unit. The density is 4.4 g/cm3.

```
TeHSCl2
1.0
4.1498 0.0000 0.0000
0.0000 4.1498 0.0000
0.0000 0.0000 5.0449
Te H S Cl
1 1 1 2
direct
0.0000 0.0000 0.0000 Te
0.5000 0.5000 0.5000 H
0.5000 0.5000 0.0000 S
0.0000 0.5000 0.5000 Cl
0.5000 0.0000 0.5000 Cl
```

***

## ii
# TeHSCl2

TeHSCl2 after structural relaxation (PBE, the Alexandria database).

Summary:
The value obtained for the density of states at the Fermi level is 1.0 states/eV per cell. The calculation puts the total magnetization at 1.00 μB per formula unit. The density is 2.7 g/cm3.

```
TeHSCl2
1.0
5.3472 0.0000 0.0000
0.0000 5.3472 0.0000
0.0000 0.0000 4.9386
Te H S Cl
1 1 1 2
direct
0.0000 0.0000 0.0000 Te
0.5000 0.5000 0.5000 H
0.0000 0.0000 0.5000 S
0.0000 0.5000 0.0000 Cl
0.5000 0.0000 0.0000 Cl
```

***

Taking the most stable structure as the zero point, the relative energies in eV/atom are i 0.189; ii 0.000.

***

## i
# HWS2Cl

HWS2Cl after structural relaxation (PBE, the Alexandria database).

Summary:
The value obtained for the density of states at the Fermi level is 3.6 states/eV per cell. The calculation puts the total magnetization at 1.00 μB per formula unit. The density is 4.5 g/cm3.

```
HWS2Cl
1.0
4.6380 0.0000 0.0000
0.0000 4.6380 0.0000
0.0000 0.0000 4.9249
H W S Cl
1 1 2 1
direct
0.0000 0.0000 0.0000 H
0.5000 0.5000 0.5000 W
0.0000 0.5000 0.5000 S
0.5000 0.0000 0.5000 S
0.5000 0.5000 0.0000 Cl
```

***

## ii
# HWS2Cl

HWS2Cl after structural relaxation (PBE, the Alexandria database).

Summary:
The value obtained for the density of states at the Fermi level is 2.8 states/eV per cell. The calculation puts the total magnetization at 1.82 μB per formula unit. The density is 7.0 g/cm3.

```
HWS2Cl
1.0
3.8438 0.0000 0.0000
0.0000 3.8438 0.0000
0.0000 0.0000 4.5742
H W S Cl
1 1 2 1
direct
0.0000 0.0000 0.0000 H
0.5000 0.5000 0.5000 W
0.0000 0.5000 0.0000 S
0.5000 0.0000 0.0000 S
0.0000 0.0000 0.5000 Cl
```

***

Taking the most stable structure as the zero point, the relative energies in eV/atom are i 0.000; ii 0.815.

***

## i
# YHS2Cl

YHS2Cl after structural relaxation (PBE, the Alexandria database).

Summary:
The value obtained for the density of states at the Fermi level is 1.4 states/eV per cell. The calculation puts the total magnetization at 0.00 μB per formula unit. The density is 3.9 g/cm3.

```
YHS2Cl
1.0
4.0434 0.0000 0.0000
0.0000 4.0434 0.0000
0.0000 0.0000 4.8979
Y H S Cl
1 1 2 1
direct
0.0000 0.0000 0.0000 Y
0.5000 0.5000 0.5000 H
0.0000 0.5000 0.5000 S
0.5000 0.0000 0.5000 S
0.5000 0.5000 0.0000 Cl
```

***

## ii
# YHS2Cl

YHS2Cl after structural relaxation (PBE, the Alexandria database).

Summary:
The value obtained for the density of states at the Fermi level is 4.0 states/eV per cell. The calculation puts the total magnetization at 3.01 μB per formula unit. The density is 2.0 g/cm3.

```
YHS2Cl
1.0
5.3793 0.0000 0.0000
0.0000 5.3793 0.0000
0.0000 0.0000 5.3375
Y H S Cl
1 1 2 1
direct
0.0000 0.0000 0.0000 Y
0.5000 0.5000 0.5000 H
0.0000 0.5000 0.0000 S
0.5000 0.0000 0.0000 S
0.0000 0.0000 0.5000 Cl
```

***

Taking the most stable structure as the zero point, the relative energies in eV/atom are i 0.000; ii 0.272.

***

## i
# ZnHSCl2

ZnHSCl2 after structural relaxation (PBE, the Alexandria database).

Summary:
The value obtained for the density of states at the Fermi level is 3.7 states/eV per cell. The calculation puts the total magnetization at 2.97 μB per formula unit. The density is 2.4 g/cm3.

```
ZnHSCl2
1.0
4.9368 0.0000 0.0000
0.0000 4.9368 0.0000
0.0000 0.0000 4.8227
Zn H S Cl
1 1 1 2
direct
0.0000 0.0000 0.0000 Zn
0.5000 0.5000 0.5000 H
0.0000 0.0000 0.5000 S
0.0000 0.5000 0.0000 Cl
0.5000 0.0000 0.0000 Cl
```

***

## ii
# ZnHSCl2

ZnHSCl2 after structural relaxation (PBE, the Alexandria database).

Summary:
The value obtained for the density of states at the Fermi level is 2.9 states/eV per cell. The calculation puts the total magnetization at 0.96 μB per formula unit. The density is 3.3 g/cm3.

```
ZnHSCl2
1.0
5.0758 0.0000 0.0000
0.0000 5.0758 0.0000
0.0000 0.0000 3.2680
Zn H S Cl
1 1 1 2
direct
0.0000 0.0000 0.0000 Zn
0.5000 0.5000 0.5000 H
0.5000 0.5000 0.0000 S
0.0000 0.5000 0.5000 Cl
0.5000 0.0000 0.5000 Cl
```

***

Taking the most stable structure as the zero point, the relative energies in eV/atom are i 0.040; ii 0.000.